1.
The following is a DFT calculation (PBE) of a geometry-optimized Be2AgOsF structure.

Calculated values
Calculated total energy: -17.38 eV for the cell shown
Magnetic moment: 0.35 μB per atom
Space-group type: P4/mmm

abc: 4.374 3.968 4.374
angles: 90.00 90.00 90.00
Site moments in Bohr magnetons follow the coordinates.
Fractional coordinates of all 5 atoms:
Ag  0.000  0.000  0.000  -0.04
Be  0.000  0.000  0.500  -0.04
F  0.000  0.500  0.000  0.03
Os  0.500  0.500  0.500  1.76
Be  0.500  0.000  0.000  -0.04

=====

2.
The following is a DFT calculation (PBE) of a geometry-optimized ReIr2Cl structure.

Calculated values
Calculated total energy: -29.26 eV for the cell shown
Excess energy over the best structure of this formula in the dataset: 0.3973 eV per atom
Magnetic moment: 0.00 μB per atom
Space-group type: Pmm2

abc: 2.776 3.627 6.889
angles: 90.00 90.00 90.00
Fractional coordinates of all 4 atoms:
Cl  0.500  0.500  0.725
Ir  0.500  0.500  0.264
Re  0.000  0.000  0.449
Ir  0.000  0.000  0.062

=====

3.
The following is a DFT calculation (PBE) of a geometry-optimized LaHg3F structure.

Calculated values
Calculated total energy: -7.66 eV for the cell shown
Excess energy over the best structure of this formula in the dataset: 0.5223 eV per atom
Magnetic moment: 0.00 μB per atom
Space-group type: Pm-3m

abc: 6.360 6.360 6.360
angles: 90.00 90.00 90.00
Fractional coordinates of all 5 atoms:
F  0.500  0.500  0.500
La  0.000  0.000  0.000
Hg  0.000  0.500  0.000
Hg  0.000  0.000  0.500
Hg  0.500  0.000  0.000

=====

4.
The following is a DFT calculation (PBE) of a geometry-optimized KVSn2W structure.

Calculated values
Calculated total energy: -22.76 eV for the cell shown
Magnetic moment: 0.31 μB per atom
Space-group type: P4/mmm

abc: 5.288 5.948 5.288
angles: 90.00 90.00 90.00
Site moments in Bohr magnetons follow the coordinates.
Fractional coordinates of all 5 atoms:
Sn  0.000  0.000  0.500  0.00
W  0.000  0.000  0.000  1.52
K  0.000  0.500  0.000  0.05
Sn  0.500  0.000  0.000  -0.06
V  0.500  0.500  0.500  -0.40

=====

5.
The following is a DFT calculation (PBE) of a geometry-optimized La6Ge2RhI3 structure.

Calculated values
Calculated total energy: -63.22 eV for the cell shown
Magnetic moment: 0.00 μB per atom
Space-group type: C2/m

abc: 7.659 7.659 8.148
angles: 99.32 99.32 119.00
Fractional coordinates of all 12 atoms:
I  0.500  0.500  0.500
La  0.261  0.261  0.790
Rh  0.000  0.000  0.000
I  0.176  0.824  0.500
La  0.739  0.739  0.210
La  0.936  0.620  0.805
La  0.064  0.380  0.195
Ge  0.335  0.665  0.000
I  0.824  0.176  0.500
La  0.380  0.064  0.195
La  0.620  0.936  0.805
Ge  0.665  0.335  0.000

=====

6.
The following is a DFT calculation (PBE) of a geometry-optimized Ac2Pm7Pr structure.

Calculated values
Calculated total energy: -41.94 eV for the cell shown
Magnetic moment: 0.00 μB per atom
Space-group type: Cmmm

abc: 3.622 10.759 10.759
angles: 109.97 90.00 90.00
Fractional coordinates of all 10 atoms:
Pm  0.500  0.381  0.142
Ac  0.500  0.822  0.178
Pm  0.500  0.858  0.619
Pm  0.500  0.500  0.500
Pm  0.000  0.661  0.339
Pm  0.000  0.339  0.661
Pm  0.500  0.619  0.858
Ac  0.500  0.178  0.822
Pr  0.000  0.000  0.000
Pm  0.500  0.142  0.381

=====

7.
The following is a DFT calculation (PBE) of a geometry-optimized Tl3Pd2Br7 structure.

Calculated values
Calculated total energy: -35.95 eV for the cell shown
Magnetic moment: 0.00 μB per atom
Space-group type: I4/mmm

abc: 5.262 5.262 13.798
angles: 100.99 100.99 90.00
Fractional coordinates of all 12 atoms:
Tl  0.320  0.320  0.640
Pd  0.098  0.098  0.197
Tl  0.680  0.680  0.360
Br  0.597  0.097  0.194
Tl  0.500  0.500  0.000
Br  0.097  0.597  0.194
Br  0.196  0.196  0.391
Pd  0.902  0.902  0.803
Br  0.403  0.903  0.806
Br  0.804  0.804  0.609
Br  0.000  0.000  0.000
Br  0.903  0.403  0.806

=====

8.
The following is a DFT calculation (PBE) of a geometry-optimized MgAgAsAu structure.

Calculated values
Calculated total energy: -12.90 eV for the cell shown
Magnetic moment: 0.00 μB per atom
Space-group type: F-43m

abc: 4.736 4.736 4.736
angles: 60.00 60.00 60.00
Fractional coordinates of all 4 atoms:
Au  0.000  0.000  0.000
As  0.500  0.500  0.500
Mg  0.750  0.750  0.750
Ag  0.250  0.250  0.250